(1)
The following is a PBE-GGA calculation of Dy6Fe2Au after structural relaxation, from Alexandria.

a b c (Å): 8.284 8.284 8.284
angles (deg): 107.57 109.49 111.37
Last column: magnetic moment on the atom in μB.
Positions (direct):
Dy 0.105 0.291 0.814  -0.12
Dy 0.477 0.291 0.186  -0.12
Dy 0.895 0.709 0.186  -0.12
Dy 0.790 0.220 0.011  -0.08
Dy 0.210 0.780 0.989  -0.08
Dy 0.790 0.780 0.570  -0.08
Dy 0.707 0.024 0.317  -0.12
Dy 0.293 0.609 0.317  -0.12
Dy 0.523 0.709 0.814  -0.12
Dy 0.707 0.391 0.683  -0.12
Dy 0.210 0.220 0.430  -0.08
Dy 0.293 0.976 0.683  -0.12
Au 0.000 0.000 0.000  -0.01
Au 0.000 0.500 0.500  -0.01
Fe 0.614 0.000 0.614  0.95
Fe 0.386 0.000 0.386  0.95
Fe 0.500 0.390 0.890  0.59
Fe 0.500 0.610 0.110  0.59

Crystal system = orthorhombic
Mass density = 9.8 g/cm³
E_form = -216 meV/atom
Total energy = -99.514 eV/cell


(2)
The following is a PBE-GGA calculation of GdDyFeAu after structural relaxation, from Alexandria.

a b c (Å): 4.983 4.983 4.983
angles (deg): 60.00 60.00 60.00
Last column: magnetic moment on the atom in μB.
Positions (direct):
Au 0.750 0.750 0.750  0.02
Gd 0.000 0.000 0.000  7.22
Fe 0.250 0.250 0.250  -2.02
Dy 0.500 0.500 0.500  0.28

Crystal system = cubic
Mass density = 10.9 g/cm³
E_form = -277 meV/atom
Total energy = -31.529 eV/cell


(3)
The following is a PBE-GGA calculation of DyGaAu4 after structural relaxation, from Alexandria.

a b c (Å): 5.169 9.231 5.169
angles (deg): 88.31 82.28 88.31
Positions (direct):
Au 0.208 0.878 0.208
Au 0.703 0.000 0.297
Au 0.330 0.613 0.909
Au 0.091 0.387 0.670
Au 0.670 0.387 0.091
Au 0.909 0.613 0.330
Au 0.792 0.122 0.792
Au 0.297 0.000 0.703
Ga 0.589 0.350 0.589
Ga 0.411 0.650 0.411
Dy 0.186 0.201 0.186
Dy 0.814 0.799 0.814

Energy above the lowest structure with this stoichiometry = 0.0000 eV per atom
Crystal system = monoclinic
Mass density = 13.9 g/cm³
E_form = -482 meV/atom
Total energy = -47.258 eV/cell


What did the first record say?
The following is a PBE-GGA calculation of Dy6Fe2Au after structural relaxation, from Alexandria.

a b c (Å): 8.284 8.284 8.284
angles (deg): 107.57 109.49 111.37
Last column: magnetic moment on the atom in μB.
Positions (direct):
Dy 0.105 0.291 0.814  -0.12
Dy 0.477 0.291 0.186  -0.12
Dy 0.895 0.709 0.186  -0.12
Dy 0.790 0.220 0.011  -0.08
Dy 0.210 0.780 0.989  -0.08
Dy 0.790 0.780 0.570  -0.08
Dy 0.707 0.024 0.317  -0.12
Dy 0.293 0.609 0.317  -0.12
Dy 0.523 0.709 0.814  -0.12
Dy 0.707 0.391 0.683  -0.12
Dy 0.210 0.220 0.430  -0.08
Dy 0.293 0.976 0.683  -0.12
Au 0.000 0.000 0.000  -0.01
Au 0.000 0.500 0.500  -0.01
Fe 0.614 0.000 0.614  0.95
Fe 0.386 0.000 0.386  0.95
Fe 0.500 0.390 0.890  0.59
Fe 0.500 0.610 0.110  0.59

Crystal system = orthorhombic
Mass density = 9.8 g/cm³
E_form = -216 meV/atom
Total energy = -99.514 eV/cell


What is the formula in the first record?
Dy6Fe2Au


mass density of number 2 (GdDyFeAu)?
10.9 g/cm³